The following is a DFT calculation (GGA-PBE) of a geometry-optimized La5Pr2ZnAg2 structure.

The calculation puts the total magnetization at 0.00 μB per atom.

abc: 12.774 12.774 3.931
angles: 90.00 90.00 90.00
Element x y z (fractional)
1 La 0.000 0.500 0.000
2 La 0.051 0.191 0.000
3 La 0.191 0.949 0.000
4 La 0.309 0.449 0.000
5 La 0.449 0.691 0.000
6 La 0.500 0.000 0.000
7 La 0.551 0.309 0.000
8 La 0.691 0.551 0.000
9 La 0.809 0.051 0.000
10 La 0.949 0.809 0.000
11 Pr 0.180 0.680 0.500
12 Pr 0.320 0.180 0.500
13 Pr 0.680 0.820 0.500
14 Pr 0.820 0.320 0.500
15 Zn 0.000 0.000 0.500
16 Zn 0.500 0.500 0.500
17 Ag 0.133 0.367 0.500
18 Ag 0.367 0.867 0.500
19 Ag 0.633 0.133 0.500
20 Ag 0.867 0.633 0.500

The following is a DFT calculation (GGA-PBE) of a geometry-optimized LaPrZnAg structure.

The energy above the most stable polymorph in this dataset is 0.016 eV/atom. The calculation puts the total magnetization at 0.06 μB per atom.

abc: 5.347 5.347 5.347
angles: 60.00 60.00 60.00
Element x y z (fractional)
1 La 0.000 0.000 0.000
2 Pr 0.500 0.500 0.500
3 Zn 0.750 0.750 0.750
4 Ag 0.250 0.250 0.250

The following is a DFT calculation (GGA-PBE) of a geometry-optimized LaPrZnAg structure.

The energy above the most stable polymorph in this dataset is 0.000 eV/atom. The calculation puts the total magnetization at 0.00 μB per atom.

abc: 3.812 3.812 7.370
angles: 90.00 90.00 90.00
Element x y z (fractional)
1 La 0.000 0.000 0.000
2 Pr 0.000 0.000 0.517
3 Zn 0.500 0.500 0.753
4 Ag 0.500 0.500 0.264

The following is a DFT calculation (GGA-PBE) of a geometry-optimized La2AgPt structure.

The calculation puts the total magnetization at 0.00 μB per atom.

abc: 7.850 7.850 7.850
angles: 31.82 31.82 31.82
Element x y z (fractional)
1 La 0.000 0.000 0.000
2 La 0.189 0.189 0.189
3 Ag 0.429 0.429 0.429
4 Pt 0.593 0.593 0.593

Number 1: formation energy from the elements -0.163 eV/atom, volume 320.8 Å³/f.u.. Number 2: formation energy from the elements -0.268 eV/atom, volume 108.1 Å³/f.u.. Number 3: formation energy from the elements -0.285 eV/atom, volume 107.1 Å³/f.u.. Number 4: formation energy from the elements -0.682 eV/atom, volume 119.5 Å³/f.u..